The following is a PBE calculation of Ca6Hg2P after structural relaxation, from Alexandria via LeMat-Bulk.

Cell lengths 7.058, 8.080, 12.507 Å; angles 90.00, 123.19, 90.00 degrees
Element x y z (fractional)
Ca 0.116 0.179 0.444
Ca 0.116 0.321 0.944
Ca 0.283 0.690 0.440
Ca 0.283 0.810 0.940
Ca 0.376 0.033 0.249
Ca 0.376 0.467 0.749
Ca 0.624 0.533 0.251
Ca 0.624 0.967 0.751
Ca 0.717 0.190 0.060
Ca 0.717 0.310 0.560
Ca 0.884 0.679 0.056
Ca 0.884 0.821 0.556
Hg 0.200 0.106 0.749
Hg 0.200 0.394 0.249
Hg 0.800 0.606 0.751
Hg 0.800 0.894 0.251
P 0.500 0.000 0.500
P 0.500 0.500 0.000

Calculated values
- formation enthalpy at 0 K (kcal/mol of atoms) = -12.35
- DOS at the Fermi energy (states/eV/cell) = 15.02
- calculated volume (Å³ per cell) = 596.8

=====

The following is a PBE calculation of Pm2Er3Hg6 after structural relaxation, from Alexandria via LeMat-Bulk.

Cell lengths 13.884, 13.884, 13.884 Å; angles 158.95, 158.95, 29.95 degrees
Element x y z (fractional)
Pm 0.135 0.135 0.000
Pm 0.865 0.865 0.000
Er 0.368 0.368 0.000
Er 0.500 0.500 0.000
Er 0.632 0.632 0.000
Hg 0.064 0.564 0.500
Hg 0.253 0.253 0.000
Hg 0.436 0.936 0.500
Hg 0.564 0.064 0.500
Hg 0.747 0.747 0.000
Hg 0.936 0.436 0.500

Calculated values
- formation enthalpy at 0 K (kcal/mol of atoms) = -2.50
- DOS at the Fermi energy (states/eV/cell) = 8.15
- calculated volume (Å³ per cell) = 345.2

=====

The following is a PBE calculation of Pm4Nd4Sm5 after structural relaxation, from Alexandria via LeMat-Bulk.

Cell lengths 9.682, 9.682, 9.682 Å; angles 94.04, 94.04, 149.20 degrees
Element x y z (fractional)
Pm 0.153 0.230 0.384
Pm 0.230 0.847 0.077
Pm 0.770 0.153 0.923
Pm 0.847 0.770 0.616
Nd 0.078 0.616 0.694
Nd 0.384 0.078 0.462
Nd 0.616 0.922 0.538
Nd 0.922 0.384 0.306
Sm 0.000 0.000 0.000
Sm 0.309 0.461 0.770
Sm 0.461 0.691 0.152
Sm 0.539 0.309 0.848
Sm 0.691 0.539 0.230

Calculated values
- formation enthalpy at 0 K (kcal/mol of atoms) = 0.28
- DOS at the Fermi energy (states/eV/cell) = 18.91
- calculated volume (Å³ per cell) = 448.1